VASP calculation (PBE) on a relaxed structure of MoSeBr2.

```
MoSeBr2
1.0
-3.077 -4.095 1.702
3.672 0.786 3.878
-1.963 0.744 4.420
Br Mo Se
2 1 1
direct
0.000 0.000 0.000
0.500 0.500 0.000
0.500 0.000 0.500
0.000 0.500 0.500
```

Computed properties:
Energy above the lowest structure with this stoichiometry, meV/atom: 974.3
Size of the total moment, μB/cell: 4.10


VASP calculation (PBE) on a relaxed structure of ZnTePS.

```
ZnTePS
1.0
6.176 0.000 0.006
0.000 4.435 0.000
-0.474 0.000 9.009
Zn Te P S
2 2 2 2
direct
0.993 0.000 0.530
0.993 0.500 0.030
0.670 0.000 0.724
0.670 0.500 0.224
0.876 0.000 0.275
0.876 0.500 0.775
0.128 0.000 0.124
0.128 0.500 0.624
```

Computed properties:
Energy above the lowest structure with this stoichiometry, meV/atom: 30.9
Size of the total moment, μB/cell: 0.00


VASP calculation (PBE) on a relaxed structure of YAl2ZnAg4.

```
YAl2ZnAg4
1.0
4.501 0.000 0.000
2.250 3.898 0.000
2.250 1.299 8.570
Y Al Zn Ag
1 2 1 4
direct
0.000 0.000 0.000
0.751 0.751 0.748
0.249 0.249 0.252
0.500 0.500 0.500
0.398 0.398 0.807
0.868 0.868 0.396
0.132 0.132 0.604
0.602 0.602 0.193
```

Computed properties:
Formation energy from the elements, kcal/mol of atoms: -3.84
Size of the total moment, μB/cell: 0.00


VASP calculation (PBE) on a relaxed structure of Mn2ZnSi.

```
Mn2ZnSi
1.0
4.405 0.011 -0.012
1.174 4.246 0.012
-2.779 -2.142 2.664
Mn Si Zn
2 1 1
direct
0.000 0.000 0.000
0.500 0.500 0.000
0.750 0.250 0.500
0.250 0.750 0.500
```

Computed properties:
Calculated total energy, eV per atom: -6.388
Size of the total moment, μB/cell: 4.77


| no. | N(E_F) (states/eV/cell) |
| --- | --- |
| 1 | 1.47 |
| 2 | 2.64 |
| 3 | 4.80 |
| 4 | 2.08 |